1.
Compound: MgH14SO11
Source: the Alexandria database
Functional: GGA-PBEsol
Structure: relaxed

Output
- Total magnetization: 0.0 μB/f.u.
- DOS at the Fermi energy: 0.00 states/eV/atom
- Electronic total energy: -578.6 eV for the cell shown

Unit cell a=6.659 b=11.845 c=11.753 alpha=90.00 beta=90.00 gamma=90.00
Atoms (fractional coordinates):
1 Mg 0.035 0.415 0.106
2 Mg 0.535 0.085 0.894
3 Mg 0.965 0.915 0.394
4 Mg 0.465 0.585 0.606
5 H 0.475 0.511 0.864
6 H 0.975 0.989 0.136
7 H 0.525 0.011 0.636
8 H 0.025 0.489 0.364
9 H 0.540 0.560 0.985
10 H 0.040 0.940 0.015
11 H 0.460 0.060 0.515
12 H 0.960 0.440 0.485
13 H 0.101 0.601 0.500
14 H 0.601 0.899 0.500
15 H 0.899 0.101 0.000
16 H 0.399 0.399 0.000
17 H 0.174 0.729 0.533
18 H 0.674 0.771 0.467
19 H 0.826 0.229 0.967
20 H 0.326 0.271 0.033
21 H 0.742 0.583 0.439
22 H 0.242 0.917 0.561
23 H 0.258 0.083 0.061
24 H 0.758 0.417 0.939
25 H 0.533 0.637 0.387
26 H 0.033 0.863 0.613
27 H 0.467 0.137 0.113
28 H 0.967 0.363 0.887
29 H 0.479 0.397 0.470
30 H 0.979 0.103 0.530
31 H 0.403 0.771 0.730
32 H 0.521 0.897 0.030
33 H 0.294 0.383 0.553
34 H 0.794 0.117 0.447
35 H 0.706 0.883 0.947
36 H 0.206 0.617 0.053
37 H 0.759 0.455 0.686
38 H 0.259 0.045 0.314
39 H 0.241 0.955 0.814
40 H 0.741 0.545 0.186
41 H 0.818 0.581 0.730
42 H 0.318 0.919 0.270
43 H 0.182 0.081 0.770
44 H 0.682 0.419 0.230
45 H 0.238 0.454 0.754
46 H 0.738 0.046 0.246
47 H 0.762 0.954 0.746
48 H 0.262 0.546 0.254
49 H 0.197 0.583 0.779
50 H 0.697 0.917 0.221
51 H 0.803 0.083 0.721
52 H 0.303 0.417 0.279
53 H 0.642 0.770 0.702
54 H 0.142 0.730 0.298
55 H 0.358 0.270 0.798
56 H 0.858 0.230 0.202
57 H 0.097 0.229 0.230
58 H 0.597 0.271 0.770
59 H 0.903 0.729 0.270
60 H 0.021 0.603 0.970
61 S 0.502 0.718 0.175
62 S 0.002 0.782 0.825
63 S 0.498 0.218 0.325
64 S 0.998 0.282 0.675
65 O 0.552 0.492 0.935
66 O 0.052 0.008 0.065
67 O 0.448 0.992 0.565
68 O 0.948 0.508 0.435
69 O 0.206 0.647 0.540
70 O 0.706 0.853 0.460
71 O 0.794 0.147 0.960
72 O 0.294 0.353 0.040
73 O 0.619 0.630 0.456
74 O 0.119 0.870 0.544
75 O 0.381 0.130 0.044
76 O 0.881 0.370 0.956
77 O 0.423 0.425 0.542
78 O 0.923 0.075 0.458
79 O 0.577 0.925 0.958
80 O 0.077 0.575 0.042
81 O 0.735 0.538 0.675
82 O 0.235 0.962 0.325
83 O 0.265 0.038 0.825
84 O 0.765 0.462 0.175
85 O 0.306 0.530 0.756
86 O 0.806 0.970 0.244
87 O 0.694 0.030 0.744
88 O 0.194 0.470 0.256
89 O 0.509 0.740 0.678
90 O 0.009 0.760 0.322
91 O 0.491 0.240 0.822
92 O 0.991 0.260 0.178
93 O 0.128 0.328 0.769
94 O 0.628 0.172 0.231
95 O 0.872 0.828 0.731
96 O 0.372 0.672 0.269
97 O 0.788 0.318 0.696
98 O 0.288 0.182 0.304
99 O 0.212 0.818 0.804
100 O 0.712 0.682 0.196
101 O 0.011 0.156 0.675
102 O 0.511 0.344 0.325
103 O 0.989 0.656 0.825
104 O 0.489 0.844 0.175
105 O 0.068 0.327 0.565
106 O 0.568 0.173 0.435
107 O 0.932 0.827 0.935
108 O 0.432 0.673 0.065



2.
Compound: MgH8SO8
Source: the Alexandria database
Functional: GGA-PBEsol
Structure: relaxed

Output
- Total magnetization: 0.0 μB/f.u.
- DOS at the Fermi energy: 0.00 states/eV/atom
- Electronic total energy: -397.2 eV for the cell shown

Unit cell a=5.867 b=7.807 c=13.437 alpha=90.00 beta=90.00 gamma=89.14
Atoms (fractional coordinates):
1 Mg 0.925 0.775 0.106
2 Mg 0.575 0.725 0.606
3 Mg 0.075 0.225 0.894
4 Mg 0.425 0.275 0.394
5 H 0.913 0.777 0.310
6 H 0.587 0.723 0.810
7 H 0.087 0.223 0.690
8 H 0.413 0.277 0.190
9 H 0.169 0.222 0.234
10 H 0.331 0.278 0.734
11 H 0.831 0.778 0.766
12 H 0.669 0.722 0.266
13 H 0.427 0.063 0.594
14 H 0.073 0.437 0.094
15 H 0.697 0.025 0.313
16 H 0.803 0.475 0.813
17 H 0.303 0.975 0.687
18 H 0.197 0.525 0.187
19 H 0.830 0.441 0.404
20 H 0.670 0.059 0.904
21 H 0.170 0.559 0.596
22 H 0.330 0.941 0.096
23 H 0.804 0.333 0.304
24 H 0.696 0.167 0.804
25 H 0.196 0.667 0.696
26 H 0.304 0.833 0.196
27 H 0.041 0.172 0.486
28 H 0.459 0.328 0.986
29 H 0.959 0.828 0.514
30 H 0.541 0.672 0.014
31 H 0.125 0.019 0.414
32 H 0.375 0.481 0.914
33 H 0.875 0.981 0.586
34 H 0.625 0.519 0.086
35 H 0.573 0.937 0.406
36 H 0.927 0.563 0.906
37 S 0.802 0.178 0.108
38 S 0.698 0.322 0.608
39 S 0.198 0.822 0.892
40 S 0.302 0.678 0.392
41 O 0.106 0.549 0.127
42 O 0.394 0.951 0.627
43 O 0.894 0.451 0.873
44 O 0.606 0.049 0.373
45 O 0.780 0.097 0.854
46 O 0.689 0.715 0.751
47 O 0.189 0.215 0.749
48 O 0.311 0.285 0.249
49 O 0.280 0.597 0.646
50 O 0.220 0.903 0.146
51 O 0.137 0.144 0.426
52 O 0.363 0.356 0.926
53 O 0.863 0.856 0.574
54 O 0.637 0.644 0.074
55 O 0.371 0.681 0.286
56 O 0.129 0.819 0.786
57 O 0.629 0.319 0.714
58 O 0.871 0.181 0.214
59 O 0.096 0.793 0.405
60 O 0.404 0.707 0.905
61 O 0.904 0.207 0.595
62 O 0.596 0.293 0.095
63 O 0.244 0.504 0.425
64 O 0.256 0.996 0.925
65 O 0.756 0.496 0.575
66 O 0.744 0.004 0.075
67 O 0.492 0.745 0.454
68 O 0.008 0.755 0.954
69 O 0.508 0.255 0.546
70 O 0.992 0.245 0.046
71 O 0.720 0.403 0.354
72 O 0.811 0.785 0.251



3.
Compound: MgH12S2O9
Source: the Alexandria database
Functional: GGA-PBEsol
Structure: relaxed

Output
- Total magnetization: 0.0 μB/f.u.
- DOS at the Fermi energy: 0.00 states/eV/atom
- Electronic total energy: -504.5 eV for the cell shown

Unit cell a=6.779 b=9.250 c=14.317 alpha=90.00 beta=90.00 gamma=90.00
Atoms (fractional coordinates):
1 Mg 0.000 0.000 0.000
2 Mg 0.500 0.500 0.000
3 Mg 0.500 0.500 0.500
4 Mg 0.000 0.000 0.500
5 H 0.275 0.876 0.112
6 H 0.775 0.624 0.888
7 H 0.225 0.376 0.388
8 H 0.725 0.124 0.612
9 H 0.725 0.124 0.888
10 H 0.225 0.376 0.112
11 H 0.775 0.624 0.612
12 H 0.275 0.876 0.388
13 H 0.065 0.804 0.133
14 H 0.565 0.696 0.867
15 H 0.435 0.304 0.367
16 H 0.935 0.196 0.633
17 H 0.935 0.196 0.867
18 H 0.435 0.304 0.133
19 H 0.565 0.696 0.633
20 H 0.065 0.804 0.367
21 H 0.067 0.112 0.165
22 H 0.567 0.388 0.835
23 H 0.433 0.612 0.335
24 H 0.933 0.888 0.665
25 H 0.933 0.888 0.835
26 H 0.433 0.612 0.165
27 H 0.567 0.388 0.665
28 H 0.067 0.112 0.335
29 H 0.841 0.150 0.151
30 H 0.341 0.350 0.849
31 H 0.659 0.650 0.349
32 H 0.159 0.850 0.651
33 H 0.159 0.850 0.849
34 H 0.659 0.650 0.151
35 H 0.341 0.350 0.651
36 H 0.841 0.150 0.349
37 H 0.648 0.912 0.075
38 H 0.148 0.588 0.925
39 H 0.852 0.412 0.425
40 H 0.352 0.088 0.575
41 H 0.352 0.088 0.925
42 H 0.852 0.412 0.075
43 H 0.148 0.588 0.575
44 H 0.648 0.912 0.425
45 H 0.700 0.806 0.988
46 H 0.200 0.694 0.012
47 H 0.800 0.306 0.512
48 H 0.300 0.194 0.488
49 H 0.300 0.194 0.012
50 H 0.800 0.306 0.988
51 H 0.200 0.694 0.488
52 H 0.700 0.806 0.512
53 S 0.435 0.033 0.250
54 S 0.935 0.467 0.750
55 S 0.065 0.533 0.250
56 S 0.565 0.967 0.750
57 S 0.604 0.213 0.250
58 S 0.104 0.287 0.750
59 S 0.896 0.713 0.250
60 S 0.396 0.787 0.750
61 O 0.475 0.949 0.164
62 O 0.975 0.551 0.836
63 O 0.025 0.449 0.336
64 O 0.525 0.051 0.664
65 O 0.525 0.051 0.836
66 O 0.025 0.449 0.164
67 O 0.975 0.551 0.664
68 O 0.475 0.949 0.336
69 O 0.225 0.081 0.250
70 O 0.725 0.419 0.750
71 O 0.275 0.581 0.250
72 O 0.775 0.919 0.750
73 O 0.151 0.840 0.081
74 O 0.651 0.660 0.919
75 O 0.349 0.340 0.419
76 O 0.849 0.160 0.581
77 O 0.849 0.160 0.919
78 O 0.349 0.340 0.081
79 O 0.651 0.660 0.581
80 O 0.151 0.840 0.419
81 O 0.963 0.124 0.117
82 O 0.463 0.376 0.883
83 O 0.537 0.624 0.383
84 O 0.037 0.876 0.617
85 O 0.037 0.876 0.883
86 O 0.537 0.624 0.117
87 O 0.463 0.376 0.617
88 O 0.963 0.124 0.383
89 O 0.741 0.895 0.023
90 O 0.241 0.605 0.977
91 O 0.759 0.395 0.477
92 O 0.259 0.105 0.523
93 O 0.259 0.105 0.977
94 O 0.759 0.395 0.023
95 O 0.241 0.605 0.523
96 O 0.741 0.895 0.477



4.
Compound: MgH2Se2O8
Source: the Alexandria database
Functional: GGA-PBEsol
Structure: relaxed

Output
- Total magnetization: 0.0 μB/f.u.
- DOS at the Fermi energy: 0.00 states/eV/atom
- Electronic total energy: -143.6 eV for the cell shown

Unit cell a=5.137 b=7.462 c=8.558 alpha=90.00 beta=90.00 gamma=98.58
Atoms (fractional coordinates):
1 Mg 0.000 0.000 0.000
2 Mg 0.500 0.500 0.500
3 H 0.207 0.656 0.985
4 H 0.293 0.844 0.485
5 H 0.793 0.344 0.015
6 H 0.707 0.156 0.515
7 Se 0.548 0.213 0.818
8 Se 0.952 0.287 0.318
9 Se 0.048 0.713 0.682
10 Se 0.452 0.787 0.182
11 O 0.290 0.603 0.082
12 O 0.210 0.897 0.582
13 O 0.807 0.465 0.352
14 O 0.693 0.035 0.852
15 O 0.193 0.535 0.648
16 O 0.307 0.965 0.148
17 O 0.264 0.315 0.364
18 O 0.236 0.185 0.864
19 O 0.736 0.685 0.636
20 O 0.764 0.815 0.136
21 O 0.914 0.224 0.132
22 O 0.586 0.276 0.632
23 O 0.086 0.776 0.868
24 O 0.414 0.724 0.368
25 O 0.790 0.103 0.418
26 O 0.710 0.397 0.918



5.
Compound: MgSiH6O6
Source: the Alexandria database
Functional: GGA-PBEsol
Structure: relaxed

Output
- Total magnetization: 0.0 μB/f.u.
- DOS at the Fermi energy: 0.00 states/eV/atom
- Electronic total energy: -164.6 eV for the cell shown

Unit cell a=5.058 b=5.143 c=7.265 alpha=90.00 beta=90.20 gamma=90.00
Atoms (fractional coordinates):
1 H 0.492 0.859 0.506
2 H 0.508 0.359 0.494
3 H 0.997 0.627 0.010
4 H 0.003 0.127 0.990
5 H 0.269 0.458 0.764
6 H 0.731 0.958 0.236
7 H 0.802 0.033 0.720
8 H 0.198 0.533 0.280
9 H 0.907 0.178 0.449
10 H 0.093 0.678 0.551
11 H 0.427 0.348 0.040
12 H 0.573 0.848 0.960
13 Mg 0.747 0.501 0.751
14 Mg 0.253 0.001 0.249
15 O 0.382 0.019 0.522
16 O 0.618 0.519 0.478
17 O 0.880 0.471 0.021
18 O 0.120 0.971 0.979
19 O 0.902 0.192 0.310
20 O 0.098 0.692 0.690
21 O 0.449 0.347 0.178
22 O 0.551 0.847 0.822
23 O 0.945 0.156 0.679
24 O 0.055 0.656 0.321
25 O 0.392 0.312 0.805
26 O 0.608 0.812 0.195
27 Si 0.251 0.001 0.751
28 Si 0.749 0.501 0.249



6.
Compound: Mg10Si3H4O18
Source: the Alexandria database
Functional: GGA-PBEsol
Structure: relaxed

Output
- Total magnetization: 0.0 μB/f.u.
- DOS at the Fermi energy: 0.00 states/eV/atom
- Electronic total energy: -460.7 eV for the cell shown

Unit cell a=5.112 b=8.751 c=13.993 alpha=90.00 beta=90.00 gamma=90.00
Atoms (fractional coordinates):
1 Mg 0.835 0.000 0.325
2 Mg 0.165 0.000 0.675
3 Mg 0.335 0.500 0.175
4 Mg 0.665 0.500 0.825
5 Mg 0.343 0.824 0.323
6 Mg 0.657 0.824 0.677
7 Mg 0.843 0.324 0.177
8 Mg 0.157 0.324 0.823
9 Mg 0.843 0.676 0.177
10 Mg 0.157 0.676 0.823
11 Mg 0.343 0.176 0.323
12 Mg 0.657 0.176 0.677
13 Mg 0.000 0.178 0.500
14 Mg 0.500 0.678 0.000
15 Mg 0.000 0.822 0.500
16 Mg 0.500 0.322 0.000
17 Mg 0.500 0.341 0.500
18 Mg 0.000 0.841 0.000
19 Mg 0.500 0.659 0.500
20 Mg 0.000 0.159 0.000
21 Si 0.500 0.000 0.500
22 Si 0.000 0.500 0.000
23 Si 0.516 0.000 0.124
24 Si 0.484 0.000 0.876
25 Si 0.016 0.500 0.376
26 Si 0.984 0.500 0.624
27 H 0.083 0.900 0.189
28 H 0.917 0.900 0.811
29 H 0.583 0.400 0.311
30 H 0.417 0.400 0.689
31 H 0.583 0.600 0.311
32 H 0.417 0.600 0.689
33 H 0.083 0.100 0.189
34 H 0.917 0.100 0.811
35 O 0.205 0.000 0.087
36 O 0.795 0.000 0.913
37 O 0.705 0.500 0.413
38 O 0.295 0.500 0.587
39 O 0.196 0.000 0.421
40 O 0.804 0.000 0.579
41 O 0.696 0.500 0.079
42 O 0.304 0.500 0.921
43 O 0.521 0.658 0.254
44 O 0.479 0.658 0.746
45 O 0.021 0.158 0.246
46 O 0.979 0.158 0.754
47 O 0.021 0.842 0.246
48 O 0.979 0.842 0.754
49 O 0.521 0.342 0.254
50 O 0.479 0.342 0.746
51 O 0.645 0.855 0.427
52 O 0.355 0.855 0.573
53 O 0.145 0.355 0.073
54 O 0.855 0.355 0.927
55 O 0.145 0.645 0.073
56 O 0.855 0.645 0.927
57 O 0.645 0.145 0.427
58 O 0.355 0.145 0.573
59 O 0.668 0.843 0.086
60 O 0.332 0.843 0.914
61 O 0.168 0.343 0.414
62 O 0.832 0.343 0.586
63 O 0.168 0.657 0.414
64 O 0.832 0.657 0.586
65 O 0.668 0.157 0.086
66 O 0.332 0.157 0.914
67 O 0.510 0.000 0.242
68 O 0.490 0.000 0.758
69 O 0.010 0.500 0.258
70 O 0.990 0.500 0.742